A relaxed Rb2BaPtI6 crystal. Source: the Alexandria database, functional PBE.

Lattice parameters (Å, degrees): 8.750 8.750 8.766 60.06 60.06 90.00
Site moments in Bohr magnetons follow the coordinates.
Element x y z (fractional)
Pt (0.000, 0.000, 0.000)  0.96
I (0.771, 0.771, 0.458)  0.09
I (0.228, 0.228, 0.000)  0.09
Rb (0.250, 0.750, 0.500)  0.00
I (0.772, 0.772, 0.000)  0.09
I (0.229, 0.229, 0.542)  0.09
I (0.772, 0.228, 0.000)  0.09
Rb (0.750, 0.250, 0.500)  0.00
I (0.228, 0.772, 0.000)  0.09
Ba (0.500, 0.500, 0.000)  0.08

Values from the calculation:
Total magnetization ... 1.99 Bohr magnetons per cell
Total DFT energy (no corrections) ... -2.9004 eV/atom
E_form (uncorrected) ... -0.980 eV per atom

---

A relaxed Ba6Pt2RhI3 crystal. Source: the Alexandria database, functional PBE.

Lattice parameters (Å, degrees): 8.024 8.024 9.033 98.51 98.51 120.00
Element x y z (fractional)
I (0.167, 0.833, 0.500)
Ba (0.740, 0.740, 0.200)
Ba (0.260, 0.260, 0.800)
Ba (0.607, 0.934, 0.801)
I (0.833, 0.167, 0.500)
I (0.500, 0.500, 0.500)
Rh (0.000, 0.000, 0.000)
Ba (0.934, 0.607, 0.801)
Ba (0.066, 0.393, 0.199)
Pt (0.667, 0.333, 0.000)
Ba (0.393, 0.066, 0.199)
Pt (0.333, 0.667, 0.000)

Values from the calculation:
Total magnetization ... 0.00 Bohr magnetons per cell
Total DFT energy (no corrections) ... -3.9990 eV/atom
E_form (uncorrected) ... -1.031 eV per atom

---

A relaxed Ba8PtRh3I4 crystal. Source: the Alexandria database, functional PBE.

Lattice parameters (Å, degrees): 9.275 10.077 9.276 117.42 120.00 90.00
Element x y z (fractional)
Ba (0.275, 0.302, 0.038)
I (0.500, 0.000, 0.500)
Ba (0.236, 0.698, 0.962)
Ba (0.267, 0.301, 0.534)
I (0.000, 0.000, 0.500)
Ba (0.236, 0.698, 0.473)
Rh (0.500, 0.500, 0.500)
Ba (0.725, 0.698, 0.962)
Pt (0.000, 0.500, 0.000)
Ba (0.764, 0.302, 0.038)
Rh (0.500, 0.500, 0.000)
Ba (0.764, 0.302, 0.527)
Ba (0.733, 0.699, 0.466)
I (0.000, 0.000, 0.000)
Rh (0.000, 0.500, 0.500)
I (0.500, 0.000, 0.000)

Values from the calculation:
Total magnetization ... 0.00 Bohr magnetons per cell
Total DFT energy (no corrections) ... -3.9862 eV/atom
E_form (uncorrected) ... -0.881 eV per atom

---

A relaxed Ba8PtRh3I3 crystal. Source: the Alexandria database, functional PBE.

Lattice parameters (Å, degrees): 9.231 9.234 10.105 117.22 90.00 120.00
Element x y z (fractional)
I (0.000, 0.500, 0.000)
Ba (0.766, 0.038, 0.304)
Ba (0.728, 0.962, 0.696)
Rh (0.500, 0.500, 0.500)
Rh (0.000, 0.500, 0.500)
Ba (0.766, 0.532, 0.304)
Ba (0.234, 0.962, 0.696)
Ba (0.234, 0.468, 0.696)
I (0.500, 0.500, 0.000)
Ba (0.732, 0.464, 0.696)
Ba (0.272, 0.038, 0.304)
Ba (0.268, 0.536, 0.304)
Rh (0.500, 0.000, 0.500)
I (0.000, 0.000, 0.000)
Pt (0.000, 0.000, 0.500)

Values from the calculation:
Total magnetization ... 0.67 Bohr magnetons per cell
Total DFT energy (no corrections) ... -3.9410 eV/atom
E_form (uncorrected) ... -0.733 eV per atom

---

A relaxed Ba8Pt3RhI3 crystal. Source: the Alexandria database, functional PBE.

Lattice parameters (Å, degrees): 9.224 9.214 10.227 116.75 90.00 120.02
Element x y z (fractional)
Ba (0.742, 0.969, 0.696)
Pt (0.500, 0.500, 0.500)
Rh (0.000, 0.000, 0.500)
Pt (0.000, 0.500, 0.500)
Ba (0.258, 0.031, 0.304)
Pt (0.500, 0.000, 0.500)
Ba (0.773, 0.031, 0.304)
I (0.000, 0.000, 0.000)
Ba (0.732, 0.464, 0.695)
Ba (0.227, 0.969, 0.696)
Ba (0.773, 0.546, 0.304)
Ba (0.268, 0.536, 0.305)
I (0.000, 0.500, 0.000)
I (0.500, 0.500, 0.000)
Ba (0.227, 0.454, 0.696)

Values from the calculation:
Total magnetization ... 0.00 Bohr magnetons per cell
Total DFT energy (no corrections) ... -3.9730 eV/atom
E_form (uncorrected) ... -0.939 eV per atom

---

A relaxed Ba4PtSI2 crystal. Source: the Alexandria database, functional PBE.

Lattice parameters (Å, degrees): 4.613 8.221 8.866 105.99 90.00 90.00
Element x y z (fractional)
I (0.000, 0.500, 0.500)
Ba (0.000, 0.730, 0.201)
I (0.500, 0.000, 0.500)
Ba (0.500, 0.242, 0.198)
Pt (0.500, 0.500, 0.000)
Ba (0.500, 0.758, 0.802)
Ba (0.000, 0.270, 0.799)
S (0.000, 0.000, 0.000)

Values from the calculation:
Total magnetization ... 0.00 Bohr magnetons per cell
Total DFT energy (no corrections) ... -4.0377 eV/atom
E_form (uncorrected) ... -1.418 eV per atom

---

A relaxed Ba8PtS3I4 crystal. Source: the Alexandria database, functional PBE.

Lattice parameters (Å, degrees): 9.369 9.885 9.369 118.29 120.00 90.00
Site moments in Bohr magnetons follow the coordinates.
Element x y z (fractional)
I (0.000, 0.000, 0.500)  0.00
Ba (0.233, 0.703, 0.465)  0.09
Pt (0.000, 0.500, 0.000)  0.01
S (0.500, 0.500, 0.000)  0.00
I (0.500, 0.000, 0.500)  0.00
I (0.000, 0.000, 0.000)  0.00
Ba (0.266, 0.297, 0.531)  0.03
Ba (0.734, 0.703, 0.469)  0.03
Ba (0.262, 0.297, 0.030)  0.09
S (0.000, 0.500, 0.500)  0.00
Ba (0.767, 0.297, 0.030)  0.09
S (0.500, 0.500, 0.500)  0.00
Ba (0.738, 0.703, 0.970)  0.09
Ba (0.767, 0.297, 0.535)  0.09
I (0.500, 0.000, 0.000)  0.00
Ba (0.233, 0.703, 0.970)  0.09

Values from the calculation:
Total magnetization ... 2.12 Bohr magnetons per cell
Total DFT energy (no corrections) ... -4.0607 eV/atom
E_form (uncorrected) ... -1.560 eV per atom

---

A relaxed Ba6PtS2I3 crystal. Source: the Alexandria database, functional PBE.

Lattice parameters (Å, degrees): 8.171 8.171 8.789 98.91 98.91 119.99
Site moments in Bohr magnetons follow the coordinates.
Element x y z (fractional)
Pt (0.000, 0.000, 0.000)  0.02
Ba (0.606, 0.934, 0.800)  0.13
Ba (0.262, 0.262, 0.799)  0.13
I (0.169, 0.831, 0.500)  0.01
Ba (0.934, 0.606, 0.800)  0.13
I (0.500, 0.500, 0.500)  0.01
Ba (0.066, 0.394, 0.200)  0.13
Ba (0.738, 0.738, 0.201)  0.13
I (0.831, 0.169, 0.500)  0.01
S (0.333, 0.667, 0.000)  0.00
Ba (0.394, 0.066, 0.200)  0.13
S (0.667, 0.333, 0.000)  0.00

Values from the calculation:
Total magnetization ... 2.89 Bohr magnetons per cell
Total DFT energy (no corrections) ... -4.0495 eV/atom
E_form (uncorrected) ... -1.509 eV per atom

---

A relaxed Ba6SbPt2I3 crystal. Source: the Alexandria database, functional PBE.

Lattice parameters (Å, degrees): 4.785 10.267 11.261 107.88 102.27 90.00
Element x y z (fractional)
Ba (0.664, 0.121, 0.327)
Ba (0.680, 0.558, 0.360)
Ba (0.336, 0.879, 0.673)
Sb (0.500, 0.000, 0.000)
I (0.837, 0.164, 0.674)
Ba (0.320, 0.442, 0.640)
I (0.163, 0.836, 0.326)
Ba (0.016, 0.242, 0.033)
Ba (0.984, 0.758, 0.967)
Pt (0.170, 0.339, 0.340)
I (0.500, 0.500, 0.000)
Pt (0.830, 0.661, 0.660)

Values from the calculation:
Total magnetization ... 0.00 Bohr magnetons per cell
Total DFT energy (no corrections) ... -3.9081 eV/atom
E_form (uncorrected) ... -1.209 eV per atom

---

A relaxed BaSbPtI2 crystal. Source: the Alexandria database, functional PBE.

Lattice parameters (Å, degrees): 5.662 5.662 5.354 90.00 90.00 90.00
Site moments in Bohr magnetons follow the coordinates.
Element x y z (fractional)
I (0.000, 0.500, 0.000)  0.02
I (0.500, 0.000, 0.000)  0.02
Pt (0.000, 0.000, 0.000)  0.06
Sb (0.000, 0.000, 0.500)  0.13
Ba (0.500, 0.500, 0.500)  0.02

Values from the calculation:
Total magnetization ... 0.50 Bohr magnetons per cell
Total DFT energy (no corrections) ... -3.5817 eV/atom
E_form (uncorrected) ... -0.544 eV per atom
Excess energy over the best structure of this formula in the dataset ... 0 meV/atom

---

A relaxed Ba8Sb3PtI4 crystal. Source: the Alexandria database, functional PBE.

Lattice parameters (Å, degrees): 9.956 10.233 9.966 119.12 119.97 90.00
Element x y z (fractional)
Ba (0.248, 0.291, 0.020)
I (0.000, 0.000, 0.000)
Sb (0.500, 0.500, 0.000)
Ba (0.740, 0.719, 0.479)
Ba (0.771, 0.291, 0.020)
I (0.000, 0.000, 0.500)
Sb (0.500, 0.500, 0.500)
Ba (0.260, 0.281, 0.521)
I (0.500, 0.000, 0.000)
Ba (0.766, 0.285, 0.532)
Ba (0.229, 0.709, 0.980)
Ba (0.234, 0.715, 0.468)
Ba (0.752, 0.709, 0.980)
Pt (0.000, 0.500, 0.000)
Sb (0.000, 0.500, 0.500)
I (0.500, 0.000, 0.500)

Values from the calculation:
Total magnetization ... 0.99 Bohr magnetons per cell
Total DFT energy (no corrections) ... -3.8048 eV/atom
E_form (uncorrected) ... -1.305 eV per atom

---

A relaxed BaSb2PtI crystal. Source: the Alexandria database, functional PBE.

Lattice parameters (Å, degrees): 5.327 5.327 5.838 90.00 90.00 90.00
Element x y z (fractional)
Ba (0.500, 0.500, 0.500)
Sb (0.000, 0.500, 0.000)
Sb (0.500, 0.000, 0.000)
Pt (0.000, 0.000, 0.000)
I (0.000, 0.000, 0.500)

Values from the calculation:
Total magnetization ... 0.00 Bohr magnetons per cell
Total DFT energy (no corrections) ... -3.9349 eV/atom
E_form (uncorrected) ... -0.383 eV per atom
Excess energy over the best structure of this formula in the dataset ... 0 meV/atom

---

A relaxed BaSbPtI2 crystal. Source: the Alexandria database, functional PBE.

Lattice parameters (Å, degrees): 6.573 6.573 7.123 90.00 90.00 90.00
Site moments in Bohr magnetons follow the coordinates.
Element x y z (fractional)
I (0.000, 0.500, 0.000)  0.06
Ba (0.000, 0.000, 0.000)  0.02
Sb (0.000, 0.000, 0.500)  0.77
Pt (0.500, 0.500, 0.500)  -0.10
I (0.500, 0.000, 0.000)  0.06

Values from the calculation:
Total magnetization ... 2.15 Bohr magnetons per cell
Total DFT energy (no corrections) ... -2.3950 eV/atom
E_form (uncorrected) ... 0.642 eV per atom
Excess energy over the best structure of this formula in the dataset ... 1187 meV/atom

---

A relaxed BaSb2PtI crystal. Source: the Alexandria database, functional PBE.

Lattice parameters (Å, degrees): 6.579 6.579 6.387 90.00 90.00 90.00
Site moments in Bohr magnetons follow the coordinates.
Element x y z (fractional)
Ba (0.000, 0.000, 0.000)  0.05
I (0.000, 0.000, 0.500)  0.11
Sb (0.500, 0.000, 0.000)  0.41
Pt (0.500, 0.500, 0.500)  0.56
Sb (0.000, 0.500, 0.000)  0.41

Values from the calculation:
Total magnetization ... 3.01 Bohr magnetons per cell
Total DFT energy (no corrections) ... -2.3229 eV/atom
E_form (uncorrected) ... 1.229 eV per atom
Excess energy over the best structure of this formula in the dataset ... 1612 meV/atom

---

A relaxed Ba4PtSeI2 crystal. Source: the Alexandria database, functional PBE.

Lattice parameters (Å, degrees): 4.664 8.873 8.387 73.90 90.00 90.00
Element x y z (fractional)
Pt (0.000, 0.500, 0.500)
Ba (0.000, 0.298, 0.251)
I (0.500, 0.000, 0.500)
Ba (0.000, 0.702, 0.749)
I (0.000, 0.000, 0.000)
Ba (0.500, 0.703, 0.275)
Se (0.500, 0.500, 0.000)
Ba (0.500, 0.297, 0.725)

Values from the calculation:
Total magnetization ... 0.00 Bohr magnetons per cell
Total DFT energy (no corrections) ... -3.9523 eV/atom
E_form (uncorrected) ... -1.413 eV per atom

---

A relaxed Ba6SnPt2I3 crystal. Source: the Alexandria database, functional PBE.

Lattice parameters (Å, degrees): 4.721 10.381 11.346 108.75 102.01 90.00
Element x y z (fractional)
Pt (0.169, 0.338, 0.339)
I (0.835, 0.170, 0.671)
Sn (0.500, 0.000, 0.000)
Ba (0.985, 0.753, 0.970)
Ba (0.663, 0.117, 0.325)
I (0.165, 0.830, 0.329)
Ba (0.320, 0.444, 0.640)
Pt (0.831, 0.662, 0.661)
Ba (0.680, 0.556, 0.360)
Ba (0.015, 0.247, 0.030)
Ba (0.337, 0.883, 0.675)
I (0.500, 0.500, 0.000)

Values from the calculation:
Total magnetization ... 0.00 Bohr magnetons per cell
Total DFT energy (no corrections) ... -3.7866 eV/atom
E_form (uncorrected) ... -1.097 eV per atom

---

A relaxed Ba2SrPtI crystal. Source: the Alexandria database, functional PBE.

Lattice parameters (Å, degrees): 6.278 6.278 5.950 90.00 90.00 90.00
Element x y z (fractional)
Pt (0.000, 0.000, 0.000)
Ba (0.500, 0.000, 0.000)
Sr (0.000, 0.000, 0.500)
Ba (0.000, 0.500, 0.000)
I (0.500, 0.500, 0.500)

Values from the calculation:
Total magnetization ... 0.00 Bohr magnetons per cell
Total DFT energy (no corrections) ... -3.3637 eV/atom
E_form (uncorrected) ... -0.740 eV per atom

---

A relaxed BaSr2PtI crystal. Source: the Alexandria database, functional PBE.

Lattice parameters (Å, degrees): 5.963 5.963 6.289 90.00 90.00 90.00
Element x y z (fractional)
Sr (0.500, 0.000, 0.000)
I (0.500, 0.500, 0.500)
Sr (0.000, 0.500, 0.000)
Ba (0.000, 0.000, 0.500)
Pt (0.000, 0.000, 0.000)

Values from the calculation:
Total magnetization ... 0.00 Bohr magnetons per cell
Total DFT energy (no corrections) ... -3.3219 eV/atom
E_form (uncorrected) ... -0.746 eV per atom

---

A relaxed BaSrPtI crystal. Source: the Alexandria database, functional PBE.

Lattice parameters (Å, degrees): 4.518 4.517 8.947 90.00 104.62 119.99
Element x y z (fractional)
Ba (0.506, 0.151, 0.672)
Sr (0.103, 0.949, 0.067)
Pt (0.310, 0.553, 0.879)
I (0.959, 0.378, 0.352)

Values from the calculation:
Total magnetization ... 0.00 Bohr magnetons per cell
Total DFT energy (no corrections) ... -3.9084 eV/atom
E_form (uncorrected) ... -1.110 eV per atom

---

A relaxed BaTePtI2 crystal. Source: the Alexandria database, functional PBE.

Lattice parameters (Å, degrees): 5.552 5.552 5.569 90.00 90.00 90.00
Element x y z (fractional)
Ba (0.500, 0.500, 0.500)
I (0.500, 0.000, 0.000)
I (0.000, 0.500, 0.000)
Pt (0.000, 0.000, 0.000)
Te (0.000, 0.000, 0.500)

Values from the calculation:
Total magnetization ... 0.00 Bohr magnetons per cell
Total DFT energy (no corrections) ... -3.6072 eV/atom
E_form (uncorrected) ... -0.766 eV per atom
Excess energy over the best structure of this formula in the dataset ... 0 meV/atom